# 1
Mg2ReBr: PBEsol geometry, meta-GGA SCAN.

## Properties
Energy above the lowest structure with this stoichiometry: 73.2 kJ per mole of atoms
Space group: I-42d, No. 122
Formation energy without anion corrections: 0.865 eV/atom
Total magnetic moment: 3.55 μB/cell

Cell lengths 5.9667, 5.9667, 5.9667 Å; angles 103.32, 103.32, 122.64 degrees
Sites, in units of the cell vectors:
Mg (0.1161, 0.6250, 0.9911)
Mg (0.3750, 0.3661, 0.4911)
Mg (0.6339, 0.1250, 0.0089)
Mg (0.8750, 0.8839, 0.5089)
Re (0.2500, 0.7500, 0.5000)
Re (0.5000, 0.5000, 0.0000)
Br (0.0000, 0.0000, 0.0000)
Br (0.7500, 0.2500, 0.5000)

# 2
Mg2ReBr: PBEsol geometry, meta-GGA SCAN.

## Properties
Energy above the lowest structure with this stoichiometry: 52.9 kJ per mole of atoms
Space group: P4mm, No. 99
Formation energy without anion corrections: 0.655 eV/atom
Total magnetic moment: 0.00 μB/cell

Cell lengths 3.0686, 3.0686, 8.3146 Å; angles 90.00, 90.00, 90.00 degrees
Sites, in units of the cell vectors:
Mg (0.0000, 0.0000, 0.0000)
Mg (0.5000, 0.5000, 0.2815)
Re (0.0000, 0.0000, 0.5028)
Br (0.5000, 0.5000, 0.6789)

# 3
MgReRhBr2: PBEsol geometry, meta-GGA SCAN.

## Properties
Space group: P4/mmm, No. 123
Formation energy without anion corrections: 1.206 eV/atom
Total magnetic moment: 4.76 μB/cell

Cell lengths 4.9025, 4.9025, 5.0727 Å; angles 90.00, 90.00, 90.00 degrees
Sites, in units of the cell vectors:
Mg (0.0000, 0.0000, 0.0000)
Re (0.5000, 0.5000, 0.0000)
Rh (0.0000, 0.0000, 0.5000)
Br (0.0000, 0.5000, 0.5000)
Br (0.5000, 0.0000, 0.5000)

# 4
MgRhBr2: PBEsol geometry, meta-GGA SCAN.

## Properties
Energy above the lowest structure with this stoichiometry: 0.0 kJ per mole of atoms
Space group: Cm, No. 8
Formation energy without anion corrections: -0.496 eV/atom
Total magnetic moment: 0.00 μB/cell

Cell lengths 4.3270, 4.3270, 7.2376 Å; angles 98.87, 98.87, 50.64 degrees
Sites, in units of the cell vectors:
Mg (0.0000, 0.0000, 0.0000)
Rh (0.7273, 0.7273, 0.1411)
Br (0.2733, 0.2733, 0.3583)
Br (0.6394, 0.6394, 0.7909)

# 5
MgRhBr2: PBEsol geometry, meta-GGA SCAN.

## Properties
Energy above the lowest structure with this stoichiometry: 3.7 kJ per mole of atoms
Space group: R3m, No. 160
Formation energy without anion corrections: -0.458 eV/atom
Total magnetic moment: 0.00 μB/cell

Cell lengths 8.2955, 8.2955, 8.2955 Å; angles 25.45, 25.45, 25.45 degrees
Sites, in units of the cell vectors:
Mg (0.0000, 0.0000, 0.0000)
Rh (0.7490, 0.7490, 0.7490)
Br (0.2664, 0.2664, 0.2664)
Br (0.4657, 0.4657, 0.4657)

# 6
MgRhBr2: PBEsol geometry, meta-GGA SCAN.

## Properties
Energy above the lowest structure with this stoichiometry: 52.5 kJ per mole of atoms
Space group: P4/mmm, No. 123
Formation energy without anion corrections: 0.048 eV/atom
Total magnetic moment: 1.02 μB/cell

Cell lengths 3.3762, 3.3762, 6.6331 Å; angles 90.00, 90.00, 90.00 degrees
Sites, in units of the cell vectors:
Mg (0.0000, 0.0000, 0.0000)
Rh (0.0000, 0.0000, 0.5000)
Br (0.5000, 0.5000, 0.2502)
Br (0.5000, 0.5000, 0.7498)

# 7
MgRhBr2: PBEsol geometry, meta-GGA SCAN.

## Properties
Energy above the lowest structure with this stoichiometry: 39.3 kJ per mole of atoms
Space group: Cmmm, No. 65
Formation energy without anion corrections: -0.089 eV/atom
Total magnetic moment: 1.04 μB/cell

Cell lengths 3.5666, 3.5666, 7.0972 Å; angles 90.00, 90.00, 114.46 degrees
Sites, in units of the cell vectors:
Mg (0.0000, 0.0000, 0.0000)
Rh (0.0000, 0.0000, 0.5000)
Br (0.5000, 0.5000, 0.2590)
Br (0.5000, 0.5000, 0.7410)

# 8
MgRh2Br: PBEsol geometry, meta-GGA SCAN.

## Properties
Space group: P4/mmm, No. 123
Formation energy without anion corrections: 0.137 eV/atom
Total magnetic moment: 1.19 μB/cell

Cell lengths 3.1461, 3.1461, 6.2577 Å; angles 90.00, 90.00, 90.00 degrees
Sites, in units of the cell vectors:
Mg (0.0000, 0.0000, 0.0000)
Rh (0.5000, 0.5000, 0.2434)
Rh (0.5000, 0.5000, 0.7566)
Br (0.0000, 0.0000, 0.5000)

# 9
MgRhSe2Br: PBEsol geometry, meta-GGA SCAN.

## Properties
Space group: P4/mmm, No. 123
Formation energy without anion corrections: 0.387 eV/atom
Total magnetic moment: 3.37 μB/cell

Cell lengths 4.9123, 4.9123, 4.9229 Å; angles 90.00, 90.00, 90.00 degrees
Sites, in units of the cell vectors:
Mg (0.0000, 0.0000, 0.0000)
Rh (0.5000, 0.5000, 0.5000)
Se (0.0000, 0.5000, 0.0000)
Se (0.5000, 0.0000, 0.0000)
Br (0.0000, 0.0000, 0.5000)

# 10
MgRuBr3: PBEsol geometry, meta-GGA SCAN.

## Properties
Space group: Pm-3m, No. 221
Formation energy without anion corrections: -0.069 eV/atom
Total magnetic moment: 0.59 μB/cell

Cell lengths 4.9706, 4.9706, 4.9706 Å; angles 90.00, 90.00, 90.00 degrees
Sites, in units of the cell vectors:
Mg (0.0000, 0.0000, 0.0000)
Ru (0.5000, 0.5000, 0.5000)
Br (0.0000, 0.5000, 0.5000)
Br (0.5000, 0.0000, 0.5000)
Br (0.5000, 0.5000, 0.0000)

# 11
Mg2RuBr2: PBEsol geometry, meta-GGA SCAN.

## Properties
Space group: I4/mmm, No. 139
Formation energy without anion corrections: 0.097 eV/atom
Total magnetic moment: 0.13 μB/cell

Cell lengths 5.3560, 5.3560, 5.3560 Å; angles 120.96, 120.96, 88.35 degrees
Sites, in units of the cell vectors:
Mg (0.2500, 0.7500, 0.5000)
Mg (0.7500, 0.2500, 0.5000)
Ru (0.0000, 0.0000, 0.0000)
Br (0.3091, 0.3091, 0.0000)
Br (0.6909, 0.6909, 0.0000)

# 12
MgRuBr2: PBEsol geometry, meta-GGA SCAN.

## Properties
Space group: Immm, No. 71
Formation energy without anion corrections: -0.360 eV/atom
Total magnetic moment: 0.00 μB/cell

Cell lengths 6.8202, 6.8202, 6.8202 Å; angles 149.60, 144.33, 47.55 degrees
Sites, in units of the cell vectors:
Mg (0.0000, 0.0000, 0.0000)
Ru (0.5000, 0.5000, 0.0000)
Br (0.3585, 0.8585, 0.5000)
Br (0.6415, 0.1415, 0.5000)

Calculated density of states at the Fermi level (states/eV per cell), listed in the same order as above: 6.06; 1.83; 2.62; 1.13; 3.34; 3.61; 1.52; 2.90; 2.51; 1.29; 2.86; 0.96